# Ac4SnAs3

A geometry-optimized Ac4SnAs3 structure (GGA-PBE, Alexandria).

a b c (Å): 6.538 6.538 6.538
angles (deg): 90.00 90.00 90.00
Fractional coordinates of all 8 atoms:
Ac  0.000  0.000  0.000
Ac  0.000  0.500  0.500
Ac  0.500  0.000  0.500
Ac  0.500  0.500  0.000
Sn  0.500  0.500  0.500
As  0.000  0.000  0.500
As  0.000  0.500  0.000
As  0.500  0.000  0.000

***

# AcSnAs4

A geometry-optimized AcSnAs4 structure (GGA-PBE, Alexandria).

a b c (Å): 5.854 5.854 5.854
angles (deg): 60.00 60.00 60.00
Fractional coordinates of all 6 atoms:
Ac  0.000  0.000  0.000
Sn  0.250  0.250  0.250
As  0.142  0.619  0.619
As  0.619  0.142  0.619
As  0.619  0.619  0.142
As  0.619  0.619  0.619

***

# Ac3SnAs

A geometry-optimized Ac3SnAs structure (GGA-PBE, Alexandria).

a b c (Å): 5.916 5.916 5.916
angles (deg): 90.00 90.00 90.00
Fractional coordinates of all 5 atoms:
Ac  0.000  0.000  0.500
Ac  0.000  0.500  0.000
Ac  0.500  0.000  0.000
Sn  0.500  0.500  0.500
As  0.000  0.000  0.000

***

# Ac4SnAs2

A geometry-optimized Ac4SnAs2 structure (GGA-PBE, Alexandria).

a b c (Å): 7.668 7.668 15.350
angles (deg): 90.00 90.00 144.87
Fractional coordinates of all 14 atoms:
Ac  0.000  0.000  0.000
Ac  0.000  0.000  0.500
Ac  0.272  0.728  0.620
Ac  0.272  0.728  0.880
Ac  0.444  0.556  0.250
Ac  0.556  0.444  0.750
Ac  0.728  0.272  0.120
Ac  0.728  0.272  0.380
Sn  0.109  0.891  0.250
Sn  0.891  0.109  0.750
As  0.364  0.636  0.061
As  0.364  0.636  0.439
As  0.636  0.364  0.561
As  0.636  0.364  0.939

***

# AcSn2As

A geometry-optimized AcSn2As structure (GGA-PBE, Alexandria).

a b c (Å): 4.072 4.072 6.826
angles (deg): 90.00 90.00 90.00
Fractional coordinates of all 4 atoms:
Ac  0.000  0.000  0.000
Sn  0.500  0.500  0.294
Sn  0.500  0.500  0.706
As  0.000  0.000  0.500

***

# Ac3SnAs

A geometry-optimized Ac3SnAs structure (GGA-PBE, Alexandria).

a b c (Å): 9.259 4.677 17.086
angles (deg): 90.00 90.00 90.00
Fractional coordinates of all 20 atoms:
Ac  0.014  0.250  0.108
Ac  0.151  0.250  0.542
Ac  0.164  0.750  0.287
Ac  0.336  0.250  0.787
Ac  0.349  0.750  0.042
Ac  0.486  0.750  0.608
Ac  0.514  0.250  0.392
Ac  0.651  0.250  0.958
Ac  0.664  0.750  0.213
Ac  0.836  0.250  0.713
Ac  0.849  0.750  0.458
Ac  0.986  0.750  0.892
Sn  0.119  0.750  0.694
Sn  0.381  0.250  0.194
Sn  0.619  0.750  0.806
Sn  0.881  0.250  0.306
As  0.197  0.250  0.950
As  0.303  0.750  0.450
As  0.697  0.250  0.550
As  0.803  0.750  0.050

***

Number 1: total energy -5.486 eV per atom, energy of formation from the pure elements -1.188 eV/atom. Number 2: total energy -4.687 eV per atom, energy of formation from the pure elements -0.235 eV/atom. Number 3: total energy -4.727 eV per atom, energy of formation from the pure elements -0.532 eV/atom. Number 4: total energy -5.281 eV per atom, energy of formation from the pure elements -1.033 eV/atom. Number 5: total energy -4.503 eV per atom, energy of formation from the pure elements -0.312 eV/atom. Number 6: total energy -5.057 eV per atom, energy of formation from the pure elements -0.862 eV/atom.